The following is a DFT calculation (PBE) of a geometry-optimized NdErIr structure.

## Properties
Polymorph energy (0 for the lowest one)   0.210 kcal/mol of atoms
Energy of formation   -0.611 eV/atom
Final energy   -6.67 eV per atom
Crystal system   cubic

a b c (Å): 4.867 4.867 4.867
angles (deg): 60.00 60.00 60.00
Sites, in units of the cell vectors:
Nd (0.000, 0.000, 0.000)
Er (0.500, 0.500, 0.500)
Ir (0.250, 0.250, 0.250)